Entry 1:
VASP calculation (PBE) on V6Cr2Tc after structural relaxation.

Output
SG: P-1
ΔE_f in meV per atom: -25

Unit cell a=2.5343 b=6.6724 c=7.3357 alpha=101.59 beta=89.15 gamma=79.52
Fractional coordinates of all 9 atoms:
V 0.1099 0.3417 0.2355
V 0.2089 0.9943 0.6611
V 0.8901 0.6583 0.7645
V 0.5378 0.3321 0.8826
V 0.7911 0.0057 0.3389
V 0.4622 0.6679 0.1174
Cr 0.6319 0.6669 0.4468
Cr 0.3681 0.3331 0.5532
Tc 0.0000 0.0000 0.0000

Entry 2:
VASP calculation (PBE) on Cr2TcW after structural relaxation.

Output
SG: Pm
ΔE_f in meV per atom: 96

Unit cell a=4.2228 b=2.6439 c=4.9817 alpha=79.59 beta=90.00 gamma=90.00
Fractional coordinates of all 4 atoms:
Cr 0.0000 0.9985 0.0110
Cr 0.5000 0.2410 0.2431
Tc 0.0000 0.5075 0.4893
W 0.5000 0.7531 0.7566

Entry 3:
VASP calculation (PBE) on Cr2TcW after structural relaxation.

Output
SG: Fm-3m
ΔE_f in meV per atom: 73

Unit cell a=4.2468 b=4.2468 c=4.2468 alpha=60.00 beta=60.00 gamma=60.00
Fractional coordinates of all 4 atoms:
Cr 0.2500 0.2500 0.2500
Cr 0.7500 0.7500 0.7500
Tc 0.0000 0.0000 0.0000
W 0.5000 0.5000 0.5000

Entry 4:
VASP calculation (PBE) on Cr2TcW after structural relaxation.

Output
SG: Imm2
ΔE_f in meV per atom: 58

Unit cell a=4.9881 b=4.9881 c=4.9881 alpha=144.94 beta=129.59 gamma=62.88
Fractional coordinates of all 4 atoms:
Cr 0.0045 0.0045 0.0000
Cr 0.2430 0.7430 0.5000
Tc 0.4971 0.4971 0.0000
W 0.7554 0.2554 0.5000

Entry 5:
VASP calculation (PBE) on Cr2Tc2W after structural relaxation.

Output
SG: I4/mmm
ΔE_f in meV per atom: 738

Unit cell a=3.8469 b=3.8469 c=5.8442 alpha=70.78 beta=70.78 gamma=90.00
Fractional coordinates of all 5 atoms:
Cr 0.7500 0.2500 0.5000
Cr 0.2500 0.7500 0.5000
Tc 0.3851 0.3851 0.2298
Tc 0.6149 0.6149 0.7702
W 0.0000 0.0000 0.0000

Entry 6:
VASP calculation (PBE) on Cr2TcW after structural relaxation.

Output
SG: R-3m
ΔE_f in meV per atom: 365

Unit cell a=8.9388 b=8.9388 c=8.9388 alpha=17.40 beta=17.40 gamma=17.40
Fractional coordinates of all 4 atoms:
Cr 0.9963 0.9963 0.9963
Cr 0.5037 0.5037 0.5037
Tc 0.2500 0.2500 0.2500
W 0.7500 0.7500 0.7500

Which value of ΔE_f does entry 4 give?
58 meV per atom